Entry 1:
Sb3MoPd | PBE-GGA | optimized geometry

a = 5.180 Å, b = 5.180 Å, c = 5.180 Å
α = 90.00°, β = 90.00°, γ = 90.00°
Space group Pm-3m (No. 221)
Asymmetric unit:
Sb: 0.000 0.000 0.500 x3
Mo: 0.000 0.000 0.000 x1
Pd: 0.500 0.500 0.500 x1

=====

Entry 2:
SbMoPd2 | PBE-GGA | optimized geometry

a = 3.962 Å, b = 3.962 Å, c = 18.983 Å
α = 90.00°, β = 90.00°, γ = 90.00°
Space group I-42d (No. 122)
Asymmetric unit:
Sb: 0.000 0.000 0.000 x4
Mo: 0.000 0.000 0.500 x4
Pd: 0.246 0.250 0.625 x8

=====

Entry 3:
SbMo2Pd | PBE-GGA | optimized geometry

a = 6.058 Å, b = 6.058 Å, c = 11.091 Å
α = 90.00°, β = 90.00°, γ = 90.00°
Space group I-42d (No. 122)
Asymmetric unit:
Sb: 0.000 0.000 0.000 x4
Mo: 0.217 0.250 0.625 x8
Pd: 0.000 0.000 0.500 x4

=====

Entry 4:
Sb3MoPd | PBE-GGA | optimized geometry

a = 5.173 Å, b = 5.173 Å, c = 5.173 Å
α = 90.00°, β = 90.00°, γ = 90.00°
Space group Pm-3m (No. 221)
Asymmetric unit:
Sb: 0.000 0.000 0.500 x3
Mo: 0.500 0.500 0.500 x1
Pd: 0.000 0.000 0.000 x1

=====

Entry 5:
SnSbMoPd2 | PBE-GGA | optimized geometry

a = 4.915 Å, b = 4.915 Å, c = 5.568 Å
α = 90.00°, β = 90.00°, γ = 90.00°
Space group P4/mmm (No. 123)
Asymmetric unit:
Sn: 0.000 0.000 0.000 x1
Sb: 0.000 0.000 0.500 x1
Mo: 0.500 0.500 0.500 x1
Pd: 0.000 0.500 0.000 x2

=====

Entry 6:
TaSbMo2Pd | PBE-GGA | optimized geometry

a = 4.835 Å, b = 4.835 Å, c = 5.009 Å
α = 90.00°, β = 90.00°, γ = 90.00°
Space group P4/mmm (No. 123)
Asymmetric unit:
Ta: 0.000 0.000 0.000 x1
Sb: 0.000 0.000 0.500 x1
Mo: 0.000 0.500 0.500 x2
Pd: 0.500 0.500 0.000 x1

=====

Entry 7:
Sb2TeMoPd | PBE-GGA | optimized geometry

a = 5.216 Å, b = 5.216 Å, c = 5.195 Å
α = 90.00°, β = 90.00°, γ = 90.00°
Space group P4/mmm (No. 123)
Asymmetric unit:
Sb: 0.000 0.500 0.000 x2
Te: 0.000 0.000 0.500 x1
Mo: 0.000 0.000 0.000 x1
Pd: 0.500 0.500 0.500 x1

=====

Entry 8:
Sb2TeMoPd | PBE-GGA | optimized geometry

a = 5.128 Å, b = 5.128 Å, c = 5.367 Å
α = 90.00°, β = 90.00°, γ = 90.00°
Space group P4/mmm (No. 123)
Asymmetric unit:
Sb: 0.000 0.500 0.000 x2
Te: 0.000 0.000 0.500 x1
Mo: 0.500 0.500 0.500 x1
Pd: 0.000 0.000 0.000 x1

=====

Short version: calculated volume = 27.8; 18.6; 25.4; 27.7; 26.9; 23.4; 28.3; 28.2 A^3/atom, in the order given.
Short version: energy relative to the elements, uncorrected = 643; 263; 1334; 925; 1132; 2017; 687; 916 meV/atom, in the order given.